{"formula": "Ca6Bi2Pt", "functional": "PBE", "state": "relaxed", "lattice_angstrom": [[7.180, 0.000, 0.000], [0.000, 8.248, 0.000], [-7.013, 0.000, 10.375]], "species": ["Ca", "Ca", "Ca", "Ca", "Ca", "Ca", "Ca", "Ca", "Ca", "Ca", "Ca", "Ca", "Bi", "Bi", "Bi", "Bi", "Pt", "Pt"], "fractional_positions": [[0.116, 0.191, 0.447], [0.116, 0.309, 0.947], [0.282, 0.681, 0.451], [0.282, 0.819, 0.951], [0.368, 0.024, 0.258], [0.368, 0.476, 0.758], [0.632, 0.524, 0.242], [0.632, 0.976, 0.742], [0.718, 0.181, 0.049], [0.718, 0.319, 0.549], [0.884, 0.691, 0.053], [0.884, 0.809, 0.553], [0.199, 0.104, 0.745], [0.199, 0.396, 0.245], [0.801, 0.604, 0.755], [0.801, 0.896, 0.255], [0.000, 0.000, 0.000], [0.000, 0.500, 0.500]], "energy_ev_per_atom": -3.54, "space_group": "P2_1/c, No. 14", "e_form_ev_per_atom": -0.67}

***

{"formula": "LaSi2", "functional": "PBE", "state": "relaxed", "lattice_angstrom": [[3.450, 0.000, 0.000], [0.000, 3.450, 0.000], [0.000, 0.000, 10.628]], "species": ["La", "La", "Si", "Si", "Si", "Si"], "fractional_positions": [[0.000, 0.000, 0.000], [0.500, 0.500, 0.500], [0.000, 0.000, 0.290], [0.000, 0.000, 0.710], [0.500, 0.500, 0.210], [0.500, 0.500, 0.790]], "energy_ev_per_atom": -5.59, "space_group": "I4/mmm, No. 139"}

***

{"formula": "TcBrO2F", "functional": "PBE", "state": "relaxed", "lattice_angstrom": [[3.868, 0.000, 0.000], [0.000, 3.868, 0.000], [0.000, 0.000, 5.297]], "species": ["Tc", "Br", "O", "O", "F"], "fractional_positions": [[0.000, 0.000, 0.000], [0.500, 0.500, 0.500], [0.000, 0.500, 0.500], [0.500, 0.000, 0.500], [0.500, 0.500, 0.000]], "energy_ev_per_atom": -4.10, "space_group": "P4/mmm, No. 123"}